# 1
Material: CdSb2As
Method: DFT, GGA-PBE
State: optimized geometry

Results
calculated density: 7.2 g cm⁻³
symmetry: Cmm2 (35)
total magnetic moment: 0.00 μB/cell
distance to the lowest polymorph of the same formula: 0.204 eV per atom
uncorrected energy: -12.8 eV/cell
E_form (uncorrected): 0.99 eV per formula unit
density of states at the Fermi level: 0.3511 states/eV/atom

a b c (Å): 3.2979 3.2979 9.5060
angles (deg): 90.00 90.00 107.05
Positions (direct):
Cd 0.5000 0.5000 0.7316
Sb 0.0000 0.0000 0.9871
Sb 0.5000 0.5000 0.2775
As 0.0000 0.0000 0.5038

=====

# 2
Material: Tb2NdTmSe5
Method: DFT, GGA-PBE
State: optimized geometry

Results
calculated density: 6.0 g cm⁻³
symmetry: P4/mmm (123)
total magnetic moment: 0.00 μB/cell
uncorrected energy: -46.6 eV/cell
E_form (uncorrected): -10.71 eV per formula unit
density of states at the Fermi level: 0.5516 states/eV/atom

a b c (Å): 5.0810 5.0810 10.9505
angles (deg): 90.00 90.00 90.00
Positions (direct):
Se 0.5000 0.5000 0.0000
Se 0.0000 0.0000 0.7473
Se 0.0000 0.0000 0.2527
Se 0.0000 0.5000 0.5000
Se 0.5000 0.0000 0.5000
Nd 0.0000 0.0000 0.0000
Tb 0.5000 0.5000 0.3424
Tb 0.5000 0.5000 0.6576
Tm 0.0000 0.0000 0.5000

=====

What is the uncorrected energy in the first record? -12.8 eV/cell

=====

Number 2 is which compound? Tb2NdTmSe5

=====

Among the records above, which one has the highest E_form (uncorrected)? CdSb2As